VASP calculation (PBE) on a geometry-optimized Li10MgCd4 structure.

Computed properties:
- space-group type = No. 87
- calculated volume (Å³/cell) = 354
- energy of formation (eV/atom) = 0.0732

The structure in CIF format:
```
data_Li10MgCd4
_chemical_formula_sum 'Li10 Mg1 Cd4'
_cell_length_a 8.365
_cell_length_b 8.365
_cell_length_c 8.365
_cell_angle_alpha 96.73
_cell_angle_beta 96.73
_cell_angle_gamma 139.96
_space_group_name_H-M_alt 'P 1'
_space_group_IT_number 1
_space_group_name_Hall 'P 1'
loop_
_atom_site_label
_atom_site_fract_x
_atom_site_fract_y
_atom_site_fract_z
Li1 0.036 0.362 0.903
Li2 0.134 0.036 0.674
Li3 0.250 0.750 0.500
Li4 0.362 0.460 0.326
Li5 0.460 0.134 0.097
Li6 0.540 0.866 0.903
Li7 0.638 0.540 0.674
Li8 0.750 0.250 0.500
Li9 0.866 0.964 0.326
Li10 0.964 0.638 0.097
Mg1 0.000 0.000 0.000
Cd1 0.206 0.413 0.619
Cd2 0.413 0.794 0.207
Cd3 0.587 0.206 0.793
Cd4 0.794 0.587 0.381
```



VASP calculation (PBE) on a geometry-optimized Li7MgCd3 structure.

Computed properties:
- space-group type = No. 63
- ΔE to the lowest computed polymorph (meV per atom) = 0
- calculated volume (Å³/cell) = 440
- energy of formation (eV/atom) = -0.1047

The structure in CIF format:
```
data_Li7MgCd3
_chemical_formula_sum 'Li14 Mg2 Cd6'
_cell_length_a 11.203
_cell_length_b 11.203
_cell_length_c 13.065
_cell_angle_alpha 90.00
_cell_angle_beta 90.00
_cell_angle_gamma 164.43
_space_group_name_H-M_alt 'P 1'
_space_group_IT_number 1
_space_group_name_Hall 'P 1'
loop_
_atom_site_label
_atom_site_fract_x
_atom_site_fract_y
_atom_site_fract_z
Li1 0.045 0.955 0.570
Li2 0.045 0.955 0.930
Li3 0.087 0.913 0.131
Li4 0.087 0.913 0.369
Li5 0.150 0.850 0.750
Li6 0.233 0.767 0.102
Li7 0.233 0.767 0.398
Li8 0.767 0.233 0.602
Li9 0.767 0.233 0.898
Li10 0.850 0.150 0.250
Li11 0.913 0.087 0.631
Li12 0.913 0.087 0.869
Li13 0.955 0.045 0.070
Li14 0.955 0.045 0.430
Mg1 0.489 0.511 0.250
Mg2 0.511 0.489 0.750
Cd1 0.330 0.670 0.750
Cd2 0.350 0.650 0.034
Cd3 0.350 0.650 0.466
Cd4 0.650 0.350 0.534
Cd5 0.650 0.350 0.966
Cd6 0.670 0.330 0.250
```



VASP calculation (PBE) on a geometry-optimized Li3Mg2Cd7 structure.

Computed properties:
- space-group type = No. 10
- calculated volume (Å³/cell) = 259
- energy of formation (eV/atom) = -0.0876

The structure in CIF format:
```
data_Li3Mg2Cd7
_chemical_formula_sum 'Li3 Mg2 Cd7'
_cell_length_a 4.892
_cell_length_b 3.021
_cell_length_c 17.670
_cell_angle_alpha 90.00
_cell_angle_beta 97.04
_cell_angle_gamma 90.00
_space_group_name_H-M_alt 'P 1'
_space_group_IT_number 1
_space_group_name_Hall 'P 1'
loop_
_atom_site_label
_atom_site_fract_x
_atom_site_fract_y
_atom_site_fract_z
Li1 0.000 0.000 0.000
Li2 0.300 0.500 0.616
Li3 0.700 0.500 0.384
Mg1 0.165 0.000 0.297
Mg2 0.835 0.000 0.703
Cd1 0.090 0.500 0.136
Cd2 0.231 0.000 0.457
Cd3 0.375 0.000 0.792
Cd4 0.500 0.500 0.000
Cd5 0.625 0.000 0.208
Cd6 0.769 0.000 0.543
Cd7 0.910 0.500 0.864
```



VASP calculation (PBE) on a geometry-optimized LiMg2Cd2 structure.

Computed properties:
- space-group type = No. 127
- ΔE to the lowest computed polymorph (meV per atom) = 66
- calculated volume (Å³/cell) = 226
- energy of formation (eV/atom) = -0.0662

The structure in CIF format:
```
data_LiMg2Cd2
_chemical_formula_sum 'Li2 Mg4 Cd4'
_cell_length_a 8.641
_cell_length_b 8.641
_cell_length_c 3.027
_cell_angle_alpha 90.00
_cell_angle_beta 90.00
_cell_angle_gamma 90.00
_space_group_name_H-M_alt 'P 1'
_space_group_IT_number 1
_space_group_name_Hall 'P 1'
loop_
_atom_site_label
_atom_site_fract_x
_atom_site_fract_y
_atom_site_fract_z
Li1 0.000 0.000 0.000
Li2 0.500 0.500 0.000
Mg1 0.127 0.373 0.000
Mg2 0.373 0.873 0.000
Mg3 0.627 0.127 0.000
Mg4 0.873 0.627 0.000
Cd1 0.172 0.672 0.500
Cd2 0.328 0.172 0.500
Cd3 0.672 0.828 0.500
Cd4 0.828 0.328 0.500
```